[1]
Here is a relaxed AlCu2Te crystal from Alexandria via LeMat-Bulk. Energies are from PBE.

Structure (extended XYZ):
```
4
Lattice="0.000 3.282 3.282 3.282 0.000 3.282 3.282 3.282 0.000" Properties=species:S:1:pos:R:3 pbc="T T T"
Te 3.282 3.282 3.282
Al 0.000 0.000 0.000
Cu 1.641 1.641 1.641
Cu 4.923 4.923 4.923
```

Summary:
The value obtained for the energy relative to the lowest polymorph listed for this composition is 0.2343 eV/atom. Its uncorrected formation energy is 286 meV/atom. The calculation puts the density at 6.6 g/cm3.

=====

[2]
Here is a relaxed La2Zn4AgAu3 crystal from Alexandria via LeMat-Bulk. Energies are from PBE.

Structure (extended XYZ):
```
10
Lattice="4.321 0.000 0.000 0.000 4.321 0.000 0.000 0.000 11.371" Properties=species:S:1:pos:R:3 pbc="T T T"
La 2.160 0.000 2.765
La 0.000 2.160 8.605
Zn 2.160 2.160 0.000
Zn 0.000 0.000 0.000
Zn 2.160 0.000 7.213
Zn 0.000 2.160 4.157
Ag 2.160 2.160 5.685
Au 0.000 0.000 5.685
Au 2.160 0.000 9.804
Au 0.000 2.160 1.567
```

Summary:
The electronic total energy comes out at -3.258 eV per atom. The calculation puts the density at 9.7 g/cm3.

=====

[3]
Here is a relaxed RhIBr crystal from Alexandria via LeMat-Bulk. Energies are from PBE.

Structure (extended XYZ):
```
6
Lattice="-2.693 2.867 0.227 -3.206 -3.334 4.094 3.528 2.908 5.131" Properties=species:S:1:pos:R:3 pbc="T T T"
I -0.684 -0.910 3.384
I -0.983 1.733 0.642
Rh 2.563 1.942 5.884
Rh 0.937 0.251 7.961
Br -0.143 2.080 6.242
Br 2.292 1.890 3.334
```

Summary:
The value obtained for the energy relative to the lowest polymorph listed for this composition is 0.0387 eV/atom. Its uncorrected formation energy is -109 meV/atom. The calculation puts the density at 6.1 g/cm3.

=====

[4]
Here is a relaxed NaLi2BPt crystal from Alexandria via LeMat-Bulk. Energies are from PBE.

Structure (extended XYZ):
```
5
Lattice="-0.552 4.089 1.797 -4.384 -0.151 -1.004 -0.762 -1.675 3.576" Properties=species:S:1:pos:R:3 pbc="T T T"
Na -2.849 1.131 2.184
B 0.000 0.000 0.000
Pt -0.381 -0.837 1.788
Li -2.192 -0.075 -0.502
Li -0.276 2.044 0.899
```

Summary:
The electronic total energy comes out at -3.779 eV per atom. The calculation puts the density at 4.9 g/cm3.

=====

[5]
Here is a relaxed Nd2GaPd6 crystal from Alexandria via LeMat-Bulk. Energies are from PBE.

Structure (extended XYZ):
```
9
Lattice="3.804 0.000 -0.145 0.000 7.784 0.000 -1.673 -3.892 6.407" Properties=species:S:1:pos:R:3 pbc="T T T"
Nd 1.976 3.892 1.836
Nd 0.155 0.000 4.426
Ga 0.000 0.000 0.000
Pd 0.078 1.625 2.071
Pd 2.053 -2.267 4.191
Pd 2.053 2.267 4.191
Pd 1.902 1.634 -0.072
Pd 0.078 6.159 2.071
Pd 1.902 6.150 -0.072
```

Summary:
The value obtained for the energy relative to the lowest polymorph listed for this composition is 0.2790 eV/atom. The calculation puts the density at 8.8 g/cm3.

=====

[6]
Here is a relaxed PrYNiRu crystal from Alexandria via LeMat-Bulk. Energies are from PBE.

Structure (extended XYZ):
```
4
Lattice="-0.137 -4.099 -2.702 3.770 -3.145 0.117 -0.512 -4.367 2.188" Properties=species:S:1:pos:R:3 pbc="T T T"
Pr 0.000 0.000 0.000
Ru 2.341 -8.708 -0.298
Y 1.561 -5.805 -0.198
Ni 0.780 -2.903 -0.099
```

Summary:
The electronic total energy comes out at -6.805 eV per atom. The calculation puts the density at 7.7 g/cm3.

=====

- The lowest density belongs to which entry?
  NaLi2BPt